# ErZrSn2O8

ErZrSn2O8 after structural relaxation (GGA-PBE, the Alexandria database).

a b c (Å): 6.0712 6.0712 6.0712
angles (deg): 109.07 109.07 110.28
With the nearest neighbours (Å) after each atom.
Positions (direct):
Sn1 0.5000 0.5000 0.0000  4 O 1.96
O1 0.2875 0.4717 0.1843  1 Sn 1.96
Sn2 0.7500 0.2500 0.5000  4 O 1.96
O2 0.9494 0.2515 0.3021  1 Sn 1.96, 1 Zr 2.16
O3 0.2875 0.1032 0.8157  1 Sn 1.96
O4 0.5283 0.7125 0.8157  1 Sn 1.96
Er1 0.2500 0.7500 0.5000  4 O 2.24
O5 0.8968 0.7125 0.1843  1 Sn 1.96
O6 0.3528 0.0506 0.3021  1 Sn 1.96, 1 Zr 2.16
Zr1 0.0000 0.0000 0.0000  8 O 2.16-2.38
O7 0.7485 0.0506 0.6979  1 Sn 1.96, 1 Zr 2.16
O8 0.9494 0.6472 0.6979  1 Sn 1.96, 1 Zr 2.16

Energy relative to the elements, uncorrected: -2.12 eV/atom
Density of states at the Fermi level: 11.77 states/eV per cell



# Sr5ErO6

Sr5ErO6 after structural relaxation (GGA-PBE, the Alexandria database).

a b c (Å): 6.2611 6.2706 6.2711
angles (deg): 60.00 80.40 70.52
With the nearest neighbours (Å) after each atom.
Positions (direct):
Sr1 0.5000 0.8331 0.3338  6 O 2.55-2.76
O1 0.2322 0.6170 0.3053  1 Er 2.36, 4 Sr 2.56-2.58
O2 0.7678 0.0777 0.3053  1 Er 2.36, 4 Sr 2.56-2.58
Sr2 0.5000 0.1669 0.6662  6 O 2.55-2.76
O3 0.7668 0.7727 0.0000  1 Er 2.36, 4 Sr 2.55-2.58
O4 0.2332 0.2273 0.0000  1 Er 2.36, 4 Sr 2.55-2.58
Sr3 0.0000 0.6667 0.6666  6 O 2.58
Sr4 0.0000 0.3333 0.3334  6 O 2.58
O5 0.2322 0.9223 0.6947  1 Er 2.36, 4 Sr 2.56-2.58
Sr5 0.5000 0.5000 0.0000  6 O 2.56-2.76
Er1 0.0000 0.0000 0.0000  6 O 2.36
O6 0.7678 0.3830 0.6947  1 Er 2.36, 4 Sr 2.56-2.58

Energy relative to the elements, uncorrected: -2.75 eV/atom
Density of states at the Fermi level: 1.73 states/eV per cell



# SrErO2

SrErO2 after structural relaxation (GGA-PBE, the Alexandria database).

a b c (Å): 3.4593 3.4593 6.5355
angles (deg): 74.65 74.65 60.00
With the nearest neighbours (Å) after each atom.
Positions (direct):
O1 0.0650 0.0650 0.8049  3 Er 2.31
Sr1 0.4951 0.4951 0.5147  6 O 2.69-2.84
O2 0.2702 0.2702 0.1895  3 Er 2.35
Er1 0.6697 0.6697 0.9909  6 O 2.31-2.35

Energy relative to the elements, uncorrected: -2.67 eV/atom
Density of states at the Fermi level: 0.79 states/eV per cell
Energy above the lowest structure with this stoichiometry: 0.000 eV per atom



# SrEr2O

SrEr2O after structural relaxation (GGA-PBE, the Alexandria database).

a b c (Å): 3.5444 3.5444 9.7041
angles (deg): 79.48 79.48 60.00
With the nearest neighbours (Å) after each atom.
Positions (direct):
Er1 0.1218 0.1218 0.6345  3 O 2.41
Sr1 0.0000 0.0000 0.0000  2 Er 3.47, 6 Sr 3.54
O1 0.5000 0.5000 0.5000  6 Er 2.41
Er2 0.8782 0.8782 0.3655  3 O 2.41

Energy relative to the elements, uncorrected: -1.12 eV/atom
Density of states at the Fermi level: 2.60 states/eV per cell



# SrErO2

SrErO2 after structural relaxation (GGA-PBE, the Alexandria database).

a b c (Å): 3.8352 3.8352 7.1401
angles (deg): 74.42 74.42 60.00
With the nearest neighbours (Å) after each atom.
Positions (direct):
Sr1 0.5000 0.5000 0.5000  6 O 2.58
Er1 0.0000 0.0000 0.0000  2 O 2.07
O1 0.1018 0.1018 0.6947  1 Er 2.07
O2 0.8982 0.8982 0.3053  1 Er 2.07

Energy relative to the elements, uncorrected: -2.40 eV/atom
Density of states at the Fermi level: 0.93 states/eV per cell
Energy above the lowest structure with this stoichiometry: 0.271 eV per atom



# Sr2ErTaO6

Sr2ErTaO6 after structural relaxation (GGA-PBE, the Alexandria database).

a b c (Å): 5.8313 5.9099 8.2853
angles (deg): 90.00 90.17 90.00
With the nearest neighbours (Å) after each atom.
Positions (direct):
O1 0.0783 0.4774 0.7639  1 Ta 2.01, 1 Er 2.24
O2 0.7739 0.8002 0.5397  1 Ta 2.01, 1 Er 2.24
Er1 0.0000 0.5000 0.5000  6 O 2.24
O3 0.2739 0.6998 0.0397  1 Ta 2.01, 1 Er 2.24
O4 0.7261 0.3002 0.9603  1 Ta 2.01, 1 Er 2.24
Ta1 0.5000 0.0000 0.5000  6 O 2.01-2.02
O5 0.6975 0.2743 0.5433  1 Ta 2.02, 1 Er 2.24
Sr1 0.5081 0.5353 0.7505  6 O 2.53-2.81
O6 0.3025 0.7257 0.4567  1 Ta 2.02, 1 Er 2.24
O7 0.8025 0.7743 0.9567  1 Ta 2.02, 1 Er 2.24
Sr2 0.4919 0.4647 0.2495  6 O 2.53-2.81
Ta2 0.0000 0.5000 0.0000  6 O 2.01-2.02
O8 0.5783 0.0226 0.2639  1 Ta 2.01, 1 Er 2.24
O9 0.9217 0.5226 0.2361  1 Ta 2.01, 1 Er 2.24
O10 0.4217 0.9774 0.7361  1 Ta 2.01, 1 Er 2.24
O11 0.2261 0.1998 0.4603  1 Ta 2.01, 1 Er 2.24
Er2 0.5000 0.0000 0.0000  6 O 2.24
Sr3 0.9919 0.0353 0.7495  6 O 2.53-2.81
O12 0.1975 0.2257 0.0433  1 Ta 2.02, 1 Er 2.24
Sr4 0.0081 0.9647 0.2505  6 O 2.53-2.81

Energy relative to the elements, uncorrected: -3.20 eV/atom
Density of states at the Fermi level: 0.00 states/eV per cell